Density functional theory data (meta-GGA SCAN) for a PBEsol-optimized structure of InOs2Ru.

Results
The magnetization is 0.00 μB per formula unit. For the formation energy, the calculation gives 372 meV per atom. The calculation puts the calculated density at 16.4 g/cm3.

```
InOs2Ru
1.0
1.394 0.805 8.942
-1.394 0.805 8.942
0.000 -1.610 8.942
In Os Ru
1 2 1
Cartesian
0.000 0.000 0.000 In
0.000 0.000 6.544 Os
0.000 0.000 13.371 Os
0.000 0.000 20.207 Ru
```



Density functional theory data (meta-GGA SCAN) for a PBEsol-optimized structure of Hf2ReTePd.

Results
The uncorrected formation energy comes out at 606.6 meV/atom. The magnetization is 0.00 μB per formula unit. The calculation puts the calculated density at 10.9 g/cm3.

```
Hf2ReTePd
1.0
4.948 0.000 0.000
0.000 4.948 0.000
0.000 0.000 4.842
Hf Re Te Pd
2 1 1 1
Cartesian
0.000 2.474 0.000 Hf
2.474 0.000 0.000 Hf
0.000 0.000 0.000 Re
2.474 2.474 2.421 Te
0.000 0.000 2.421 Pd
```



Density functional theory data (meta-GGA SCAN) for a PBEsol-optimized structure of Zn2TcNi.

Results
The magnetization is 0.00 μB per formula unit. For the formation energy, the calculation gives 39 meV per atom. The calculation puts the calculated density at 9.4 g/cm3.

```
Zn2TcNi
1.0
2.652 -3.810 0.000
2.652 3.810 0.000
0.000 0.000 2.526
Zn Tc Ni
2 1 1
Cartesian
1.326 1.905 0.000 Zn
1.326 -1.905 0.000 Zn
0.000 0.000 1.263 Tc
2.652 0.000 1.263 Ni
```